No. 1
A relaxed Pm12NiSb6 crystal. Source: the Alexandria database, functional PBE.

Properties
Its electronic total energy is -100.004 eV/cell. The value obtained for the total moment is 0.0 μB per cell.

a = 8.7589 Å, b = 8.7589 Å, c = 8.7589 Å
α = 99.53°, β = 99.53°, γ = 99.53°
Closest atoms and distances in Å follow each position.
Fractional coordinates of all 19 atoms:
Pm (0.8068, 0.5808, 0.4450)  4 Sb 3.11-3.31
Pm (0.4450, 0.8068, 0.5808)  4 Sb 3.11-3.31
Pm (0.5808, 0.4450, 0.8068)  4 Sb 3.11-3.31
Pm (0.1932, 0.4192, 0.5550)  4 Sb 3.11-3.31
Pm (0.5550, 0.1932, 0.4192)  4 Sb 3.11-3.31
Pm (0.4192, 0.5550, 0.1932)  4 Sb 3.11-3.31
Pm (0.0548, 0.9834, 0.3124)  1 Ni 2.73
Pm (0.0166, 0.6876, 0.9452)  1 Ni 2.73
Pm (0.6876, 0.9452, 0.0166)  1 Ni 2.73
Pm (0.9452, 0.0166, 0.6876)  1 Ni 2.73
Pm (0.9834, 0.3124, 0.0548)  1 Ni 2.73
Pm (0.3124, 0.0548, 0.9834)  1 Ni 2.73
Ni (0.0000, 0.0000, 0.0000)  6 Pm 2.73
Sb (0.6878, 0.8774, 0.3603)  7 Pm 3.11-3.31
Sb (0.6397, 0.3122, 0.1226)  7 Pm 3.11-3.31
Sb (0.1226, 0.6397, 0.3122)  7 Pm 3.11-3.31
Sb (0.3122, 0.1226, 0.6397)  7 Pm 3.11-3.31
Sb (0.3603, 0.6878, 0.8774)  7 Pm 3.11-3.31
Sb (0.8774, 0.3603, 0.6878)  7 Pm 3.11-3.31


No. 2
A relaxed Al3VHg crystal. Source: the Alexandria database, functional PBE.

Properties
Its formation enthalpy at 0 K is 0.6539 eV/atom. For the relative energy among the computed polymorphs, the calculation gives 0.000 eV/atom. The value obtained for the total moment is 3.7 μB per cell.

a = 4.9539 Å, b = 4.9539 Å, c = 4.9539 Å
α = 90.00°, β = 90.00°, γ = 90.00°
Closest atoms and distances in Å follow each position.
Fractional coordinates of all 5 atoms:
Hg (0.5000, 0.5000, 0.5000)  12 Al 3.50
Al (0.0000, 0.5000, 0.0000)  2 V 2.48
Al (0.0000, 0.0000, 0.5000)  2 V 2.48
Al (0.5000, 0.0000, 0.0000)  2 V 2.48
V (0.0000, 0.0000, 0.0000)  6 Al 2.48


No. 3
A relaxed CeSbO crystal. Source: the Alexandria database, functional PBE.

Properties
For the relative energy among the computed polymorphs, the calculation gives 0.100 eV/atom. The value obtained for the total moment is 0.7 μB per cell.

a = 3.2511 Å, b = 3.2512 Å, c = 6.7210 Å
α = 75.99°, β = 75.98°, γ = 90.00°
Closest atoms and distances in Å follow each position.
Fractional coordinates of all 3 atoms:
Ce (0.9936, 0.5627, 0.4894)  4 O 2.36
Sb (0.7153, 0.2844, 0.0456)  4 Sb 3.25, 1 O 3.35, 5 Ce 3.51-3.63
O (0.4503, 0.0195, 0.5757)  4 Ce 2.36